Record 1
The following is a DFT calculation (SCAN) of RbCd3Pd at its PBEsol-relaxed geometry.

Computed properties:
- polymorph energy (0 for the lowest one) (eV per atom) = 1.427
- DOS at the Fermi energy (states/eV per atom) = 0.53
- ΔE_f (eV/atom) = 1.2261

Cell: 6.1007 6.1007 6.1007 Å, 90.00 90.00 90.00°
With the nearest neighbours (Å) after each atom.
Fractional coordinates of all 5 atoms:
Cd 0.0000 0.5000 0.0000  2 Rb 3.05
Cd 0.5000 0.0000 0.0000  2 Rb 3.05
Cd 0.0000 0.0000 0.5000  2 Rb 3.05
Pd 0.5000 0.5000 0.5000  12 Cd 4.31
Rb 0.0000 0.0000 0.0000  6 Cd 3.05

---

Record 2
The following is a DFT calculation (SCAN) of RbSi2OsI at its PBEsol-relaxed geometry.

Computed properties:
- raw formation energy (eV per atom) = 0.035
- DOS at the Fermi energy (states/eV per atom) = 0.26

Cell: 4.6270 4.6270 6.1521 Å, 90.00 90.00 90.00°
With the nearest neighbours (Å) after each atom.
Fractional coordinates of all 5 atoms:
Si 0.0000 0.5000 0.0000  2 Os 2.31
Si 0.5000 0.0000 0.0000  2 Os 2.31
Rb 0.5000 0.5000 0.5000  4 I 3.27
Os 0.0000 0.0000 0.0000  4 Si 2.31
I 0.0000 0.0000 0.5000  2 Os 3.08, 4 Rb 3.27

---

Record 3
The following is a DFT calculation (SCAN) of NbSn2Au at its PBEsol-relaxed geometry.

Computed properties:
- DOS at the Fermi energy (states/eV per atom) = 0.62
- ΔE_f (eV/atom) = 0.3055

Cell: 4.8244 4.8244 4.8244 Å, 60.00 60.00 60.00°
With the nearest neighbours (Å) after each atom.
Fractional coordinates of all 4 atoms:
Sn 0.2500 0.2500 0.2500  4 Au 2.95, 4 Nb 2.95
Sn 0.7500 0.7500 0.7500  4 Nb 2.95, 4 Au 2.95
Au 0.5000 0.5000 0.5000  8 Sn 2.95
Nb 0.0000 0.0000 0.0000  8 Sn 2.95

---

Record 4
The following is a DFT calculation (SCAN) of BaCoSe at its PBEsol-relaxed geometry.

Computed properties:
- raw formation energy (eV per atom) = -0.084
- DOS at the Fermi energy (states/eV per atom) = 0.41

Cell: 5.1458 5.1458 5.1458 Å, 60.00 60.00 60.00°
With the nearest neighbours (Å) after each atom.
Fractional coordinates of all 3 atoms:
Se 0.5000 0.5000 0.5000  4 Ba 3.15
Ba 0.7500 0.7500 0.7500  4 Se 3.15, 4 Co 3.15
Co 0.0000 0.0000 0.0000  4 Ba 3.15

---

Record 5
The following is a DFT calculation (SCAN) of KP2Se at its PBEsol-relaxed geometry.

Computed properties:
- raw formation energy (eV per atom) = 0.454
- DOS at the Fermi energy (states/eV per atom) = 0.50

Cell: 4.1127 4.1127 4.6120 Å, 90.00 90.00 90.00°
With the nearest neighbours (Å) after each atom.
Fractional coordinates of all 4 atoms:
K 0.0000 0.0000 0.5000  4 Se 2.91, 8 P 3.09
Se 0.5000 0.5000 0.5000  4 K 2.91, 8 P 3.09
P 0.0000 0.5000 0.0000  4 P 2.91, 4 Se 3.09, 4 K 3.09
P 0.5000 0.0000 0.0000  4 P 2.91, 4 Se 3.09, 4 K 3.09

---

Record 6
The following is a DFT calculation (SCAN) of Hf2SiRuN at its PBEsol-relaxed geometry.

Computed properties:
- raw formation energy (eV per atom) = 1.301
- polymorph energy (0 for the lowest one) (eV per atom) = 2.032
- DOS at the Fermi energy (states/eV per atom) = 0.76

Cell: 4.1339 4.8425 4.8425 Å, 90.00 90.00 90.00°
With the nearest neighbours (Å) after each atom.
Fractional coordinates of all 5 atoms:
Hf 0.0000 0.5000 0.0000  2 Si 2.42
Hf 0.0000 0.0000 0.5000  2 Si 2.42
N 0.5000 0.5000 0.5000  8 Hf 3.18, 4 Ru 3.42
Ru 0.5000 0.0000 0.0000  2 Si 2.07
Si 0.0000 0.0000 0.0000  2 Ru 2.07

---

Record 7
The following is a DFT calculation (SCAN) of PtCSe2N at its PBEsol-relaxed geometry.

Computed properties:
- raw formation energy (eV per atom) = 1.867
- polymorph energy (0 for the lowest one) (eV per atom) = 0.922
- DOS at the Fermi energy (states/eV per atom) = 0.57

Cell: 3.5880 5.0684 5.0684 Å, 90.00 90.00 90.00°
With the nearest neighbours (Å) after each atom.
Fractional coordinates of all 5 atoms:
Se 0.0000 0.5000 0.0000  2 Pt 2.53
Se 0.0000 0.0000 0.5000  2 Pt 2.53
C 0.5000 0.5000 0.5000  8 Se 3.10
Pt 0.0000 0.0000 0.0000  2 N 1.79
N 0.5000 0.0000 0.0000  2 Pt 1.79

---

Record 8
The following is a DFT calculation (SCAN) of MnCdSiAu2 at its PBEsol-relaxed geometry.

Computed properties:
- raw formation energy (eV per atom) = 0.925
- DOS at the Fermi energy (states/eV per atom) = 0.36

Cell: 4.7279 5.0410 5.0410 Å, 90.00 90.00 90.00°
With the nearest neighbours (Å) after each atom.
Fractional coordinates of all 5 atoms:
Au 0.0000 0.0000 0.5000  2 Cd 2.52
Au 0.0000 0.5000 0.0000  2 Cd 2.52
Cd 0.0000 0.0000 0.0000  2 Si 2.36, 4 Au 2.52
Mn 0.5000 0.5000 0.5000  8 Au 3.46, 4 Si 3.56
Si 0.5000 0.0000 0.0000  2 Cd 2.36